# UTl2Sb3O12 | Alexandria | PBE | relaxed
# E_form (uncorrected) = -1.599 eV per atom
# Total magnetization = 1.22 μB per cell
# DFT total energy = -6.481 eV/atom
data_UTl2Sb3O12
_cell_length_a 7.3694
_cell_length_b 7.3694
_cell_length_c 19.2123
_cell_angle_alpha 90.00
_cell_angle_beta 90.00
_cell_angle_gamma 120.00
_symmetry_space_group_name_H-M 'R -3 m'
_symmetry_Int_Tables_number 166
_symmetry_space_group_name_Hall '-R 3 2"'
loop_
_atom_site_label
_atom_site_type_symbol
_atom_site_fract_x
_atom_site_fract_y
_atom_site_fract_z
U1 U 0.0000 0.0000 0.0000
Tl1 Tl 0.0000 0.0000 0.4003
Sb1 Sb 0.0000 0.5000 0.5000
O1 O 0.0649 0.5324 0.8548
O2 O 0.0748 0.5374 0.6019